Entry 1:
Material: Nd2TmPaSb4
Method: DFT, PBE-GGA
State: relaxed

Cell lengths 4.4354, 7.6569, 7.7084 Å; angles 109.38, 90.00, 90.00 degrees
Each line ends with the local moment (μB).
Positions (direct):
Nd 0.5000 0.0000 0.5000  0.01
Nd 0.0000 0.5000 0.5000  0.02
Tm 0.5000 0.5000 0.0000  0.00
Pa 0.0000 0.0000 0.0000  0.63
Sb 0.5000 0.2476 0.2390  -0.01
Sb 0.5000 0.7524 0.7610  -0.01
Sb 0.0000 0.2544 0.7629  -0.01
Sb 0.0000 0.7456 0.2371  -0.01

Computed properties:
**Uncorrected formation energy**: -0.972 eV/atom


Entry 2:
Material: Co2TcMoPd
Method: DFT, PBE-GGA
State: relaxed

Cell lengths 4.4055, 4.4055, 4.6132 Å; angles 90.00, 90.00, 90.00 degrees
Each line ends with the local moment (μB).
Positions (direct):
Mo 0.0000 0.0000 0.5000  0.49
Co 0.0000 0.5000 0.0000  1.04
Co 0.5000 0.0000 0.0000  1.04
Tc 0.0000 0.0000 0.0000  -0.05
Pd 0.5000 0.5000 0.5000  0.14

Computed properties:
**Formation energy**: 1469 meV per atom


Entry 3:
Material: RbNa2Hg
Method: DFT, PBE-GGA
State: relaxed

Cell lengths 9.6265, 11.6017, 8.5511 Å; angles 137.10, 90.00, 90.00 degrees
Positions (direct):
Rb 0.4885 0.0941 0.3546
Rb 0.9885 0.4059 0.6454
Rb 0.5115 0.9059 0.6454
Rb 0.0115 0.5941 0.3546
Na 0.8421 0.9380 0.0158
Na 0.3421 0.5620 0.9842
Na 0.1579 0.0620 0.9842
Na 0.6579 0.4380 0.0158
Na 0.6092 0.5970 0.7331
Na 0.1092 0.9030 0.2669
Na 0.3908 0.4030 0.2669
Na 0.8908 0.0970 0.7331
Hg 0.7177 0.2802 0.2032
Hg 0.2177 0.2198 0.7968
Hg 0.2823 0.7198 0.7968
Hg 0.7823 0.7802 0.2032

Computed properties:
**Formation energy**: -127 meV per atom


Entry 4:
Material: ZrGa2Co
Method: DFT, PBE-GGA
State: relaxed

Cell lengths 4.0911, 3.9287, 3.9287 Å; angles 90.00, 90.00, 90.00 degrees
Each line ends with the local moment (μB).
Positions (direct):
Co 0.5000 0.5000 0.5000  0.95
Ga 0.0000 0.0000 0.5000  0.01
Ga 0.0000 0.5000 0.0000  0.01
Zr 0.5000 0.0000 0.0000  -0.03

Computed properties:
**Formation energy**: -354 meV per atom


Entry 5:
Material: Nb2AgBrCl
Method: DFT, PBE-GGA
State: relaxed

Cell lengths 4.8230, 5.2496, 4.8230 Å; angles 90.00, 90.00, 90.00 degrees
Each line ends with the local moment (μB).
Positions (direct):
Nb 0.0000 0.0000 0.5000  0.36
Nb 0.5000 0.0000 0.0000  0.28
Br 0.0000 0.0000 0.0000  0.01
Ag 0.0000 0.5000 0.0000  0.00
Cl 0.5000 0.5000 0.5000  0.03

Computed properties:
**Uncorrected formation energy**: 1.309 eV/atom


Entry 6:
Material: CuSbSe2
Method: DFT, PBE-GGA
State: relaxed

Cell lengths 4.8595, 4.8595, 4.8595 Å; angles 60.00, 60.00, 60.00 degrees
Positions (direct):
Cu 0.5000 0.5000 0.5000
Sb 0.7500 0.7500 0.7500
Se 0.0000 0.0000 0.0000
Se 0.2500 0.2500 0.2500

Computed properties:
**Uncorrected formation energy**: 0.431 eV/atom


Entry 7:
Material: ZrTaP
Method: DFT, PBE-GGA
State: relaxed

Cell lengths 6.3464, 9.6324, 6.1521 Å; angles 141.52, 90.00, 90.00 degrees
Positions (direct):
Zr 0.0000 0.7958 0.5916
Zr 0.0000 0.2042 0.4084
Zr 0.5000 0.2958 0.5916
Zr 0.5000 0.7042 0.4084
P 0.8164 0.5743 0.0000
P 0.3164 0.9257 0.0000
P 0.1836 0.4257 0.0000
P 0.6836 0.0743 0.0000
Ta 0.6756 0.8080 0.0000
Ta 0.8244 0.3080 0.0000
Ta 0.1756 0.6920 0.0000
Ta 0.3244 0.1920 0.0000

Computed properties:
**Formation energy**: -399 meV per atom


Entry 8:
Material: Ba2PrCd
Method: DFT, PBE-GGA
State: relaxed

Cell lengths 4.0782, 4.0782, 10.2894 Å; angles 90.00, 90.00, 90.00 degrees
Positions (direct):
Pr 0.5000 0.5000 0.5000
Ba 0.0000 0.0000 0.7846
Ba 0.0000 0.0000 0.2154
Cd 0.5000 0.5000 0.0000

Computed properties:
**Formation energy**: -13 meV per atom